# PrErSb2O8

A relaxed PrErSb2O8 crystal (PBE, Alexandria via LeMat-Bulk).

**VASP energy**: -7.0768 eV per atom
**Energy relative to the elements, uncorrected**: -27.67 eV/f.u.
**SG**: I-4, No. 82
**DOS at the Fermi energy**: 0.0000 states/eV per atom

Unit cell a=5.3249 b=5.3249 c=6.8321 alpha=112.94 beta=112.94 gamma=90.00
Last column: nearest neighbours and their distance in Å.
Element x y z (fractional)
1 Pr 0.7500 0.2500 0.5000  8 O 2.43-2.50
2 Er 0.0000 0.0000 0.0000  8 O 2.35-2.42
3 Sb 0.5000 0.5000 0.0000  4 O 1.92
4 Sb 0.2500 0.7500 0.5000  4 O 1.92
5 O 0.7703 0.8361 0.1699  1 Sb 1.92
6 O 0.3996 0.3338 0.1699  1 Sb 1.92
7 O 0.5940 0.6713 0.6814  1 Sb 1.92
8 O 0.0874 0.0101 0.6814  1 Sb 1.92
9 O 0.9899 0.4060 0.3186  1 Sb 1.92
10 O 0.3287 0.9126 0.3186  1 Sb 1.92
11 O 0.1639 0.6004 0.8301  1 Sb 1.92
12 O 0.6662 0.2297 0.8301  1 Sb 1.92

---

# Ho2In3Ag

A relaxed Ho2In3Ag crystal (PBE, Alexandria via LeMat-Bulk).

**VASP energy**: -3.7671 eV per atom
**Formation enthalpy at 0 K**: -0.397 eV per atom
**Relative energy among the computed polymorphs**: 5.1 meV/atom
**SG**: Fmmm, No. 69
**DOS at the Fermi energy**: 0.6883 states/eV per atom

Unit cell a=6.0306 b=6.0306 c=9.1881 alpha=102.87 beta=102.87 gamma=108.75
Last column: nearest neighbours and their distance in Å.
Element x y z (fractional)
1 Ho 0.2500 0.7500 0.5000  8 In 3.30-3.31, 4 Ag 3.32, 2 Ho 3.51
2 Ho 0.7477 0.7477 0.0000  10 In 3.30-3.39, 2 Ag 3.34, 2 Ho 3.48-3.55
3 Ho 0.7500 0.2500 0.5000  8 In 3.30-3.31, 4 Ag 3.32, 2 Ho 3.51
4 Ho 0.2523 0.2523 0.0000  10 In 3.30-3.39, 2 Ag 3.34, 2 Ho 3.48-3.55
5 In 0.3409 0.8298 0.1707  1 Ag 2.78, 2 In 2.88-2.90
6 In 0.1702 0.6591 0.8293  1 Ag 2.78, 2 In 2.88-2.90
7 In 0.6591 0.1702 0.8293  1 Ag 2.78, 2 In 2.88-2.90
8 In 0.8298 0.3409 0.1707  1 Ag 2.78, 2 In 2.88-2.90
9 In 0.1691 0.1691 0.3382  1 Ag 2.77, 2 In 2.88
10 In 0.8309 0.8309 0.6618  1 Ag 2.77, 2 In 2.88
11 Ag 0.6678 0.6678 0.3356  3 In 2.77-2.78
12 Ag 0.3322 0.3322 0.6644  3 In 2.77-2.78

---

# ZrTaSn2

A relaxed ZrTaSn2 crystal (PBE, Alexandria via LeMat-Bulk).

**VASP energy**: -7.0539 eV per atom
**Formation enthalpy at 0 K**: 0.048 eV per atom
**Relative energy among the computed polymorphs**: 0.0 meV/atom
**SG**: Fm-3m, No. 225
**DOS at the Fermi energy**: 1.0057 states/eV per atom

Unit cell a=4.9268 b=4.9268 c=4.9268 alpha=60.00 beta=60.00 gamma=60.00
Last column: nearest neighbours and their distance in Å.
Element x y z (fractional)
1 Sn 0.2500 0.2500 0.2500  4 Ta 3.02, 4 Zr 3.02
2 Sn 0.7500 0.7500 0.7500  4 Zr 3.02, 4 Ta 3.02
3 Zr 0.0000 0.0000 0.0000  8 Sn 3.02
4 Ta 0.5000 0.5000 0.5000  8 Sn 3.02

---

# K2CuMo

A relaxed K2CuMo crystal (PBE, Alexandria via LeMat-Bulk).

**VASP energy**: -2.9190 eV per atom
**Formation enthalpy at 0 K**: 1.362 eV per atom
**Relative energy among the computed polymorphs**: 495.3 meV/atom
**SG**: I4/mmm, No. 139
**DOS at the Fermi energy**: 0.4759 states/eV per atom

Unit cell a=6.4408 b=6.4408 c=6.4408 alpha=139.29 beta=139.29 gamma=58.93
Last column: nearest neighbours and their distance in Å.
Element x y z (fractional)
1 Cu 0.7500 0.2500 0.5000  4 Mo 3.17
2 K 0.0000 0.0000 0.0000  4 K 3.17
3 K 0.5000 0.5000 0.0000  4 K 3.17
4 Mo 0.2500 0.7500 0.5000  4 Cu 3.17

---

# Tb6Nd16Ho7

A relaxed Tb6Nd16Ho7 crystal (PBE, Alexandria via LeMat-Bulk).

**VASP energy**: -4.4873 eV per atom
**Formation enthalpy at 0 K**: 0.206 eV per atom
**SG**: Fm-3m, No. 225
**DOS at the Fermi energy**: 1.3861 states/eV per atom

Unit cell a=11.3161 b=11.3161 c=11.3161 alpha=60.00 beta=60.00 gamma=60.00
Last column: nearest neighbours and their distance in Å.
Element x y z (fractional)
1 Tb 0.2663 0.7337 0.2663  8 Nd 3.62-3.64, 4 Ho 4.01
2 Tb 0.7337 0.2663 0.7337  8 Nd 3.62-3.64, 4 Ho 4.01
3 Tb 0.7337 0.2663 0.2663  8 Nd 3.62-3.64, 4 Ho 4.01
4 Tb 0.2663 0.7337 0.7337  8 Nd 3.62-3.64, 4 Ho 4.01
5 Tb 0.7337 0.7337 0.2663  8 Nd 3.62-3.64, 4 Ho 4.01
6 Tb 0.2663 0.2663 0.7337  8 Nd 3.62-3.64, 4 Ho 4.01
7 Nd 0.8748 0.8748 0.3756  4 Ho 3.46-3.47, 3 Tb 3.62, 3 Nd 3.65
8 Nd 0.8748 0.8748 0.8748  4 Ho 3.46-3.47, 3 Tb 3.62, 3 Nd 3.65
9 Nd 0.8748 0.3756 0.8748  4 Ho 3.46-3.47, 3 Tb 3.62, 3 Nd 3.65
10 Nd 0.3756 0.8748 0.8748  4 Ho 3.46-3.47, 3 Tb 3.62, 3 Nd 3.65
11 Nd 0.1252 0.1252 0.1252  4 Ho 3.46-3.47, 3 Tb 3.62, 3 Nd 3.65
12 Nd 0.1252 0.1252 0.6244  4 Ho 3.46-3.47, 3 Tb 3.62, 3 Nd 3.65
13 Nd 0.1252 0.6244 0.1252  4 Ho 3.46-3.47, 3 Tb 3.62, 3 Nd 3.65
14 Nd 0.6244 0.1252 0.1252  4 Ho 3.46-3.47, 3 Tb 3.62, 3 Nd 3.65
15 Nd 0.6494 0.6494 0.0518  3 Ho 3.30, 3 Tb 3.64, 3 Nd 3.65
16 Nd 0.6494 0.6494 0.6494  3 Ho 3.30, 3 Tb 3.64, 3 Nd 3.65
17 Nd 0.6494 0.0518 0.6494  3 Ho 3.30, 3 Tb 3.64, 3 Nd 3.65
18 Nd 0.0518 0.6494 0.6494  3 Ho 3.30, 3 Tb 3.64, 3 Nd 3.65
19 Nd 0.3506 0.3506 0.3506  3 Ho 3.30, 3 Tb 3.64, 3 Nd 3.65
20 Nd 0.3506 0.3506 0.9482  3 Ho 3.30, 3 Tb 3.64, 3 Nd 3.65
21 Nd 0.3506 0.9482 0.3506  3 Ho 3.30, 3 Tb 3.64, 3 Nd 3.65
22 Nd 0.9482 0.3506 0.3506  3 Ho 3.30, 3 Tb 3.64, 3 Nd 3.65
23 Ho 0.0000 0.0000 0.0000  8 Nd 3.47
24 Ho 0.5000 0.0000 0.5000  8 Nd 3.30-3.46
25 Ho 0.0000 0.5000 0.0000  8 Nd 3.30-3.46
26 Ho 0.0000 0.5000 0.5000  8 Nd 3.30-3.46
27 Ho 0.5000 0.0000 0.0000  8 Nd 3.30-3.46
28 Ho 0.0000 0.0000 0.5000  8 Nd 3.30-3.46
29 Ho 0.5000 0.5000 0.0000  8 Nd 3.30-3.46

---

# BaSr3N

A relaxed BaSr3N crystal (PBE, Alexandria via LeMat-Bulk).

**VASP energy**: -1.1058 eV per atom
**Energy relative to the elements, uncorrected**: 9.76 eV/f.u.
**Relative energy among the computed polymorphs**: 2189.9 meV/atom
**SG**: Pm-3m, No. 221
**DOS at the Fermi energy**: 2.0284 states/eV per atom

Unit cell a=6.5808 b=6.5808 c=6.5808 alpha=90.00 beta=90.00 gamma=90.00
Last column: nearest neighbours and their distance in Å.
Element x y z (fractional)
1 Sr 0.0000 0.5000 0.0000  2 Ba 3.29
2 Sr 0.0000 0.0000 0.5000  2 Ba 3.29
3 Sr 0.5000 0.0000 0.0000  2 Ba 3.29
4 Ba 0.0000 0.0000 0.0000  6 Sr 3.29
5 N 0.5000 0.5000 0.5000  12 Sr 4.65

---

# Zn10Cu6Ir

A relaxed Zn10Cu6Ir crystal (PBE, Alexandria via LeMat-Bulk).

**VASP energy**: -2.7594 eV per atom
**Formation enthalpy at 0 K**: -0.043 eV per atom
**SG**: P-31m, No. 162
**DOS at the Fermi energy**: 0.3000 states/eV per atom

Unit cell a=5.1197 b=7.2738 c=7.2738 alpha=120.00 beta=90.00 gamma=90.00
Last column: nearest neighbours and their distance in Å.
Element x y z (fractional)
1 Zn 0.8193 0.7160 0.7160  5 Cu 2.50-2.66, 1 Ir 2.63, 4 Zn 2.77-2.78
2 Zn 0.8193 0.0000 0.2840  5 Cu 2.50-2.66, 1 Ir 2.63, 4 Zn 2.77-2.78
3 Zn 0.8193 0.2840 0.0000  5 Cu 2.50-2.66, 1 Ir 2.63, 4 Zn 2.77-2.78
4 Zn 0.1807 0.2840 0.2840  5 Cu 2.50-2.66, 1 Ir 2.63, 4 Zn 2.77-2.78
5 Zn 0.1807 0.0000 0.7160  5 Cu 2.50-2.66, 1 Ir 2.63, 4 Zn 2.77-2.78
6 Zn 0.1807 0.7160 0.0000  5 Cu 2.50-2.66, 1 Ir 2.63, 4 Zn 2.77-2.78
7 Zn 0.5000 0.3333 0.6667  6 Cu 2.51, 2 Zn 2.56
8 Zn 0.5000 0.6667 0.3333  6 Cu 2.51, 2 Zn 2.56
9 Zn 0.0000 0.6667 0.3333  8 Zn 2.56-2.78, 6 Cu 2.84
10 Zn 0.0000 0.3333 0.6667  8 Zn 2.56-2.78, 6 Cu 2.84
11 Cu 0.6825 0.3629 0.3629  7 Zn 2.50-2.66, 1 Cu 2.73, 1 Ir 2.80
12 Cu 0.6825 0.0000 0.6371  7 Zn 2.50-2.66, 1 Cu 2.73, 1 Ir 2.80
13 Cu 0.6825 0.6371 0.0000  7 Zn 2.50-2.66, 1 Cu 2.73, 1 Ir 2.80
14 Cu 0.3175 0.6371 0.6371  7 Zn 2.50-2.66, 1 Cu 2.73, 1 Ir 2.80
15 Cu 0.3175 0.0000 0.3629  7 Zn 2.50-2.66, 1 Cu 2.73, 1 Ir 2.80
16 Cu 0.3175 0.3629 0.0000  7 Zn 2.50-2.66, 1 Cu 2.73, 1 Ir 2.80
17 Ir 0.5000 0.0000 0.0000  6 Zn 2.63, 6 Cu 2.80

---

# Pr4SmY2

A relaxed Pr4SmY2 crystal (PBE, Alexandria via LeMat-Bulk).

**VASP energy**: -5.1930 eV per atom
**Formation enthalpy at 0 K**: 0.059 eV per atom
**Relative energy among the computed polymorphs**: 0.0 meV/atom
**SG**: Fdd2, No. 43
**DOS at the Fermi energy**: 1.5849 states/eV per atom

Unit cell a=12.7365 b=12.7365 c=6.9097 alpha=97.00 beta=97.00 gamma=150.20
Last column: nearest neighbours and their distance in Å.
Element x y z (fractional)
1 Pr 0.7152 0.1793 0.8703  6 Pr 3.49-3.88, 2 Sm 3.61-3.74, 3 Y 3.64-3.90
2 Pr 0.1793 0.7152 0.3703  6 Pr 3.49-3.88, 2 Sm 3.61-3.74, 3 Y 3.64-3.90
3 Pr 0.1855 0.7933 0.9020  5 Pr 3.49-3.88, 4 Y 3.50-3.70, 2 Sm 3.70-3.82
4 Pr 0.7933 0.1855 0.4020  5 Pr 3.49-3.88, 4 Y 3.50-3.70, 2 Sm 3.70-3.82
5 Pr 0.0336 0.1415 0.5985  5 Pr 3.49-3.88, 4 Y 3.50-3.70, 2 Sm 3.70-3.83
6 Pr 0.5593 0.5950 0.1301  6 Pr 3.49-3.88, 2 Sm 3.61-3.74, 3 Y 3.64-3.90
7 Pr 0.5950 0.5593 0.6301  6 Pr 3.49-3.88, 2 Sm 3.61-3.74, 3 Y 3.64-3.90
8 Pr 0.1415 0.0336 0.0985  5 Pr 3.49-3.88, 4 Y 3.50-3.70, 2 Sm 3.70-3.83
9 Sm 0.4246 0.6747 0.5002  4 Y 3.50-3.67, 8 Pr 3.61-3.83
10 Sm 0.6747 0.4246 0.0002  4 Y 3.50-3.67, 8 Pr 3.61-3.83
11 Y 0.6230 0.3056 0.4491  7 Pr 3.50-3.90, 2 Sm 3.50-3.67, 2 Y 3.72
12 Y 0.9241 0.1067 0.0513  7 Pr 3.50-3.90, 2 Sm 3.50-3.67, 2 Y 3.72
13 Y 0.1067 0.9241 0.5513  7 Pr 3.50-3.90, 2 Sm 3.50-3.67, 2 Y 3.72
14 Y 0.3056 0.6230 0.9491  7 Pr 3.50-3.90, 2 Sm 3.50-3.67, 2 Y 3.72

---

# LaMn2Ni

A relaxed LaMn2Ni crystal (PBE, Alexandria via LeMat-Bulk).

**VASP energy**: -6.9572 eV per atom
**Formation enthalpy at 0 K**: 0.305 eV per atom
**SG**: P4/mmm, No. 123
**DOS at the Fermi energy**: 0.7048 states/eV per atom

Unit cell a=4.3544 b=3.9984 c=3.9984 alpha=90.00 beta=90.00 gamma=90.00
Last column: nearest neighbours and their distance in Å.
Element x y z (fractional)
1 La 0.5000 0.0000 0.5000  4 Ni 2.83, 8 Mn 2.96
2 Mn 0.0000 0.0000 0.0000  4 Mn 2.83, 4 La 2.96, 4 Ni 2.96
3 Mn 0.0000 0.5000 0.5000  4 Mn 2.83, 4 La 2.96, 4 Ni 2.96
4 Ni 0.5000 0.5000 0.0000  4 La 2.83, 8 Mn 2.96

---

# BPS2O

A relaxed BPS2O crystal (PBE, Alexandria via LeMat-Bulk).

**VASP energy**: -3.5191 eV per atom
**Energy relative to the elements, uncorrected**: 7.70 eV/f.u.
**Relative energy among the computed polymorphs**: 366.8 meV/atom
**SG**: P4/mmm, No. 123
**DOS at the Fermi energy**: 0.6636 states/eV per atom

Unit cell a=4.2067 b=4.2067 c=4.1349 alpha=90.00 beta=90.00 gamma=90.00
Last column: nearest neighbours and their distance in Å.
Element x y z (fractional)
1 P 0.0000 0.0000 0.5000  2 O 2.07
2 S 0.0000 0.5000 0.0000  2 O 2.10
3 S 0.5000 0.0000 0.0000  2 O 2.10
4 B 0.5000 0.5000 0.5000  8 S 2.95, 4 P 2.97
5 O 0.0000 0.0000 0.0000  2 P 2.07, 4 S 2.10

---

# NbZnIrSe2

A relaxed NbZnIrSe2 crystal (PBE, Alexandria via LeMat-Bulk).

**VASP energy**: -4.6394 eV per atom
**Energy relative to the elements, uncorrected**: 3.98 eV/f.u.
**SG**: P4/mmm, No. 123
**DOS at the Fermi energy**: 1.0241 states/eV per atom

Unit cell a=4.9031 b=5.0288 c=4.9031 alpha=90.00 beta=90.00 gamma=90.00
Last column: nearest neighbours and their distance in Å.
Element x y z (fractional)
1 Nb 0.0000 0.5000 0.0000  2 Ir 2.51
2 Ir 0.0000 0.0000 0.0000  4 Se 2.45, 2 Nb 2.51
3 Zn 0.5000 0.5000 0.5000  4 Nb 3.47, 8 Se 3.51
4 Se 0.0000 0.0000 0.5000  2 Ir 2.45
5 Se 0.5000 0.0000 0.0000  2 Ir 2.45

---

# ZrNb2Pt

A relaxed ZrNb2Pt crystal (PBE, Alexandria via LeMat-Bulk).

**VASP energy**: -8.8988 eV per atom
**Formation enthalpy at 0 K**: -0.217 eV per atom
**Relative energy among the computed polymorphs**: 0.0 meV/atom
**SG**: Fm-3m, No. 225
**DOS at the Fermi energy**: 1.2187 states/eV per atom

Unit cell a=4.6709 b=4.6709 c=4.6709 alpha=60.00 beta=60.00 gamma=60.00
Last column: nearest neighbours and their distance in Å.
Element x y z (fractional)
1 Nb 0.2500 0.2500 0.2500  4 Zr 2.86, 4 Pt 2.86
2 Nb 0.7500 0.7500 0.7500  4 Pt 2.86, 4 Zr 2.86
3 Zr 0.0000 0.0000 0.0000  8 Nb 2.86
4 Pt 0.5000 0.5000 0.5000  8 Nb 2.86